(A)
Compound: YP2O2
Source: Alexandria
Functional: PBE-GGA
Structure: optimized geometry

```
data_YP2O2
_cell_length_a 4.1469
_cell_length_b 4.1469
_cell_length_c 6.2846
_cell_angle_alpha 90.00
_cell_angle_beta 90.00
_cell_angle_gamma 90.00
_space_group_name_H-M_alt 'P 4/m m m'
_space_group_IT_number 123
_space_group_name_Hall '-P 4 2'
loop_
_atom_site_label
_atom_site_fract_x
_atom_site_fract_y
_atom_site_fract_z
Y1 0.0000 0.0000 0.0000
P1 0.0000 0.0000 0.5000
P2 0.5000 0.5000 0.5000
O1 0.0000 0.5000 0.0000
```

---

(B)
Compound: YP2O2
Source: Alexandria
Functional: PBE-GGA
Structure: optimized geometry

```
data_YP2O2
_cell_length_a 10.6056
_cell_length_b 10.6056
_cell_length_c 13.1296
_cell_angle_alpha 90.00
_cell_angle_beta 90.00
_cell_angle_gamma 90.00
_space_group_name_H-M_alt 'I 41/a m d'
_space_group_IT_number 141
loop_
_space_group_symop_operation_xyz
'x,y,z'
'-x,-y,-z'
'-y+1/4,x+3/4,z+1/4'
'y+1/4,-x+3/4,-z+1/4'
'-x+1/2,-y,z+1/2'
'x+1/2,y,-z+1/2'
'y+1/4,-x+1/4,z+3/4'
'-y+1/4,x+1/4,-z+3/4'
'x,-y,-z'
'-x,y,z'
'-y+1/4,-x+1/4,-z+3/4'
'y+1/4,x+1/4,z+3/4'
'-x+1/2,y,-z+1/2'
'x+1/2,-y,z+1/2'
'y+1/4,x+3/4,-z+1/4'
'-y+1/4,-x+3/4,z+1/4'
'x+1/2,y+1/2,z+1/2'
'-x+1/2,-y+1/2,-z+1/2'
'-y+3/4,x+1/4,z+3/4'
'y+3/4,-x+1/4,-z+3/4'
'-x,-y+1/2,z'
'x,y+1/2,-z'
'y+3/4,-x+3/4,z+1/4'
'-y+3/4,x+3/4,-z+1/4'
'x+1/2,-y+1/2,-z+1/2'
'-x+1/2,y+1/2,z+1/2'
'-y+3/4,-x+3/4,-z+1/4'
'y+3/4,x+3/4,z+1/4'
'-x,y+1/2,-z'
'x,-y+1/2,z'
'y+3/4,x+1/4,-z+3/4'
'-y+3/4,-x+1/4,z+3/4'
loop_
_atom_site_label
_atom_site_fract_x
_atom_site_fract_y
_atom_site_fract_z
Y1 0.0000 0.0000 0.0000
P1 0.0000 0.1429 0.7411
O1 0.0000 0.0559 0.8404
```

---

Which one sits at the top of the stability order? (B) does.

---

(A)
Compound: YP2O2
Source: Alexandria
Functional: PBE-GGA
Structure: optimized geometry

```
data_YP2O2
_cell_length_a 3.6481
_cell_length_b 3.6481
_cell_length_c 5.6237
_cell_angle_alpha 90.00
_cell_angle_beta 90.00
_cell_angle_gamma 90.00
_space_group_name_H-M_alt 'P 4/m m m'
_space_group_IT_number 123
_space_group_name_Hall '-P 4 2'
loop_
_atom_site_label
_atom_site_fract_x
_atom_site_fract_y
_atom_site_fract_z
Y1 0.0000 0.0000 0.0000
P1 0.0000 0.5000 0.5000
O1 0.5000 0.5000 0.0000
O2 0.5000 0.5000 0.5000
```

---

(B)
Compound: YP2O2
Source: Alexandria
Functional: PBE-GGA
Structure: optimized geometry

```
data_YP2O2
_cell_length_a 5.4309
_cell_length_b 5.4309
_cell_length_c 4.1587
_cell_angle_alpha 90.00
_cell_angle_beta 90.00
_cell_angle_gamma 90.00
_space_group_name_H-M_alt 'P 4/m m m'
_space_group_IT_number 123
_space_group_name_Hall '-P 4 2'
loop_
_atom_site_label
_atom_site_fract_x
_atom_site_fract_y
_atom_site_fract_z
Y1 0.0000 0.0000 0.0000
P1 0.0000 0.5000 0.0000
O1 0.0000 0.0000 0.5000
O2 0.5000 0.5000 0.5000
```

---

Which one sits at the top of the stability order? (A) does.

---

(A)
Compound: YP3O
Source: Alexandria
Functional: PBE-GGA
Structure: optimized geometry

```
data_YP3O
_cell_length_a 5.2528
_cell_length_b 5.2528
_cell_length_c 5.2528
_cell_angle_alpha 90.00
_cell_angle_beta 90.00
_cell_angle_gamma 90.00
_space_group_name_H-M_alt 'P m -3 m'
_space_group_IT_number 221
_space_group_name_Hall '-P 4 2 3'
loop_
_atom_site_label
_atom_site_fract_x
_atom_site_fract_y
_atom_site_fract_z
Y1 0.0000 0.0000 0.0000
P1 0.0000 0.0000 0.5000
O1 0.5000 0.5000 0.5000
```

---

(B)
Compound: YP3O
Source: Alexandria
Functional: PBE-GGA
Structure: optimized geometry

```
data_YP3O
_cell_length_a 4.2813
_cell_length_b 4.2813
_cell_length_c 4.2813
_cell_angle_alpha 90.00
_cell_angle_beta 90.00
_cell_angle_gamma 90.00
_space_group_name_H-M_alt 'P m -3 m'
_space_group_IT_number 221
_space_group_name_Hall '-P 4 2 3'
loop_
_atom_site_label
_atom_site_fract_x
_atom_site_fract_y
_atom_site_fract_z
Y1 0.0000 0.0000 0.0000
P1 0.0000 0.5000 0.5000
O1 0.5000 0.5000 0.5000
```

---

Which one sits at the top of the stability order? (B) does.